Entry 1:
The following is a PBE-GGA calculation of a geometry-optimized Ta3RuW structure, from Alexandria.

Unit cell a=4.543 b=16.294 c=4.548 alpha=90.00 beta=90.00 gamma=90.00
Space group Cmcm (No. 63)
Symmetry-distinct sites (fractional):
Ta: 0.000 0.054 0.250 x4
Ta: 0.000 0.250 0.250 x4
Ta: 0.000 0.446 0.250 x4
Ru: 0.000 0.151 0.750 x4
W: 0.000 0.349 0.750 x4

Summary:
The calculation puts the density at 16.332 g/cm3. The formation energy from the elements comes out at -269 meV/atom. For the calculated total energy, the calculation gives -236.52 eV for the cell shown.


Entry 2:
The following is a PBE-GGA calculation of a geometry-optimized Ta2RuW structure, from Alexandria.

Unit cell a=3.252 b=4.603 c=8.885 alpha=90.00 beta=90.00 gamma=90.00
Space group Cmm2 (No. 35)
Symmetry-distinct sites (fractional):
Ta: 0.000 0.000 0.000 x2
Ta: 0.000 0.500 0.267 x2
Ru: 0.000 0.500 0.760 x2
W: 0.000 0.000 0.523 x2

Summary:
The calculation puts the density at 16.150 g/cm3. The formation energy from the elements comes out at -8 meV/atom. For the calculated total energy, the calculation gives -91.93 eV for the cell shown.


Entry 3:
The following is a PBE-GGA calculation of a geometry-optimized Ta4RuW structure, from Alexandria.

Unit cell a=3.226 b=3.226 c=9.836 alpha=90.00 beta=90.00 gamma=90.00
Space group P4/mmm (No. 123)
Symmetry-distinct sites (fractional):
Ta: 0.000 0.000 0.161 x2
Ta: 0.500 0.500 0.337 x2
Ru: 0.500 0.500 0.000 x1
W: 0.000 0.000 0.500 x1

Summary:
The calculation puts the density at 16.361 g/cm3. The formation energy from the elements comes out at -234 meV/atom. For the calculated total energy, the calculation gives -71.04 eV for the cell shown.


Entry 4:
The following is a PBE-GGA calculation of a geometry-optimized Ta2RuW structure, from Alexandria.

Unit cell a=3.210 b=3.210 c=6.441 alpha=90.00 beta=90.00 gamma=90.00
Space group P4mm (No. 99)
Symmetry-distinct sites (fractional):
Ta: 0.000 0.000 0.000 x1
Ta: 0.500 0.500 0.264 x1
Ru: 0.500 0.500 0.758 x1
W: 0.000 0.000 0.508 x1

Summary:
The calculation puts the density at 16.183 g/cm3. The formation energy from the elements comes out at -95 meV/atom. For the calculated total energy, the calculation gives -46.31 eV for the cell shown.


Entry 5:
The following is a PBE-GGA calculation of a geometry-optimized TaRu3W structure, from Alexandria.

Unit cell a=4.609 b=4.609 c=4.609 alpha=90.00 beta=90.00 gamma=90.00
Space group Pm-3m (No. 221)
Symmetry-distinct sites (fractional):
Ta: 0.000 0.000 0.000 x1
Ru: 0.000 0.500 0.500 x3
W: 0.500 0.500 0.500 x1

Summary:
The calculation puts the density at 11.331 g/cm3. The formation energy from the elements comes out at 1590 meV/atom. For the calculated total energy, the calculation gives -44.68 eV for the cell shown.


Entry 6:
The following is a PBE-GGA calculation of a geometry-optimized Ta2RuW structure, from Alexandria.

Unit cell a=7.223 b=7.223 c=5.478 alpha=90.00 beta=90.00 gamma=90.00
Space group I-42d (No. 122)
Symmetry-distinct sites (fractional):
Ta: 0.235 0.250 0.125 x8
Ru: 0.000 0.000 0.000 x4
W: 0.000 0.000 0.500 x4

Summary:
The calculation puts the density at 15.033 g/cm3. The formation energy from the elements comes out at 597 meV/atom. For the calculated total energy, the calculation gives -174.19 eV for the cell shown.